[1]
Mn2MoAs after structural relaxation, computed with GGA-PBE.

Unit cell a=8.0260 b=8.0260 c=8.0260 alpha=20.16 beta=20.16 gamma=20.16
Closest atoms and distances in Å follow each position.
Fractional coordinates of all 4 atoms:
Mo  0.2500  0.2500  0.2500  6 Mn 2.59, 6 Mo 2.81
Mn  0.0022  0.0022  0.0022  3 As 2.51, 3 Mo 2.59
Mn  0.4978  0.4978  0.4978  3 As 2.51, 3 Mo 2.59
As  0.7500  0.7500  0.7500  6 Mn 2.51

Results
DFT total energy	-8.18	eV/atom
space-group type	R-3m
DFT formation energy	0.272	eV per atom
DOS(E_F)	3.787	states/eV/cell


[2]
Mn2MoAs after structural relaxation, computed with GGA-PBE.

Unit cell a=4.2056 b=2.7600 c=4.7762 alpha=86.21 beta=90.00 gamma=90.00
Closest atoms and distances in Å follow each position.
Fractional coordinates of all 4 atoms:
Mn  0.0000  0.5942  0.4961  2 Mn 2.45-2.63, 2 As 2.48, 2 Mo 2.62
Mn  0.0000  0.9058  0.0039  2 Mn 2.45-2.63, 2 As 2.48, 2 Mo 2.62
As  0.5000  0.7500  0.7500  4 Mn 2.48, 2 Mo 2.68, 2 As 2.76
Mo  0.5000  0.2500  0.2500  4 Mn 2.62, 4 As 2.68-2.84, 2 Mo 2.76

Results
DFT total energy	-8.30	eV/atom
space-group type	P2/m
DFT formation energy	0.155	eV per atom
DOS(E_F)	3.929	states/eV/cell


[3]
MnMoAs2 after structural relaxation, computed with GGA-PBE.

Unit cell a=4.3523 b=4.3523 c=4.3523 alpha=60.00 beta=60.00 gamma=60.00
Closest atoms and distances in Å follow each position.
Fractional coordinates of all 4 atoms:
As  0.2500  0.2500  0.2500  4 Mo 2.67, 4 Mn 2.67
As  0.7500  0.7500  0.7500  4 Mo 2.67, 4 Mn 2.67
Mn  0.0000  0.0000  0.0000  8 As 2.67
Mo  0.5000  0.5000  0.5000  8 As 2.67

Results
DFT total energy	-7.29	eV/atom
space-group type	Fm-3m
relative energy among the computed polymorphs	28.6	kJ/mol of atoms
DFT formation energy	0.037	eV per atom
DOS(E_F)	4.514	states/eV/cell


[4]
Mn2MoAs after structural relaxation, computed with GGA-PBE.

Unit cell a=4.2296 b=4.2296 c=4.2296 alpha=60.00 beta=60.00 gamma=60.00
Closest atoms and distances in Å follow each position.
Fractional coordinates of all 4 atoms:
Mo  0.7500  0.7500  0.7500  4 Mn 2.59, 4 As 2.59
Mn  0.2500  0.2500  0.2500  4 As 2.59, 4 Mn 2.59
Mn  0.0000  0.0000  0.0000  4 Mn 2.59, 4 Mo 2.59
As  0.5000  0.5000  0.5000  4 Mo 2.59, 4 Mn 2.59

Results
DFT total energy	-8.43	eV/atom
space-group type	F-43m
DFT formation energy	0.028	eV per atom
DOS(E_F)	2.004	states/eV/cell


[5]
MnMo2As after structural relaxation, computed with GGA-PBE.

Unit cell a=8.3395 b=8.3395 c=8.3395 alpha=20.17 beta=20.17 gamma=20.17
Closest atoms and distances in Å follow each position.
Fractional coordinates of all 4 atoms:
Mo  0.0016  0.0016  0.0016  3 Mn 2.62, 3 As 2.68, 6 Mo 2.92
Mo  0.4984  0.4984  0.4984  3 Mn 2.62, 3 As 2.68, 6 Mo 2.92
Mn  0.7500  0.7500  0.7500  6 Mo 2.62, 6 Mn 2.92
As  0.2500  0.2500  0.2500  6 Mo 2.68, 6 As 2.92

Results
DFT total energy	-8.56	eV/atom
space-group type	R-3m
DFT formation energy	0.307	eV per atom
DOS(E_F)	5.230	states/eV/cell


[6]
Mn3MoAs after structural relaxation, computed with GGA-PBE.

Unit cell a=4.6074 b=4.6074 c=4.6074 alpha=90.00 beta=90.00 gamma=90.00
Closest atoms and distances in Å follow each position.
Fractional coordinates of all 5 atoms:
Mo  0.0000  0.0000  0.0000  6 Mn 2.30
Mn  0.5000  0.0000  0.0000  2 Mo 2.30
Mn  0.0000  0.0000  0.5000  2 Mo 2.30
Mn  0.0000  0.5000  0.0000  2 Mo 2.30
As  0.5000  0.5000  0.5000  12 Mn 3.26

Results
DFT total energy	-7.31	eV/atom
space-group type	Pm-3m
relative energy among the computed polymorphs	38.2	kJ/mol of atoms
DFT formation energy	1.292	eV per atom
DOS(E_F)	6.750	states/eV/cell


[7]
MnMoAs2 after structural relaxation, computed with GGA-PBE.

Unit cell a=4.4230 b=4.4230 c=4.9574 alpha=84.31 beta=84.31 gamma=42.47
Closest atoms and distances in Å follow each position.
Fractional coordinates of all 4 atoms:
As  0.5207  0.5207  0.4797  1 Mn 2.43, 3 Mo 2.61-2.64
As  0.9793  0.9793  0.0203  1 Mn 2.43, 3 Mo 2.61-2.64
Mn  0.7500  0.7500  0.7500  2 As 2.43
Mo  0.2500  0.2500  0.2500  6 As 2.61-2.64

Results
DFT total energy	-7.22	eV/atom
space-group type	C2/m
relative energy among the computed polymorphs	34.9	kJ/mol of atoms
DFT formation energy	0.103	eV per atom
DOS(E_F)	2.643	states/eV/cell


[8]
MnMoAs2 after structural relaxation, computed with GGA-PBE.

Unit cell a=4.6939 b=3.2843 c=4.7901 alpha=69.45 beta=90.00 gamma=90.00
Closest atoms and distances in Å follow each position.
Fractional coordinates of all 4 atoms:
As  0.0000  0.7047  0.9490  3 Mn 2.44-2.67, 2 Mo 2.58
As  0.5000  0.5461  0.2973  3 Mo 2.47-2.64, 2 Mn 2.60
Mo  0.5000  0.8353  0.7085  5 As 2.47-2.64
Mn  0.0000  0.4140  0.5452  5 As 2.44-2.67

Results
DFT total energy	-7.35	eV/atom
space-group type	Pm
relative energy among the computed polymorphs	22.5	kJ/mol of atoms
DFT formation energy	-0.026	eV per atom
DOS(E_F)	2.652	states/eV/cell


[9]
MnMoAs2 after structural relaxation, computed with GGA-PBE.

Unit cell a=3.3860 b=5.8833 c=6.4081 alpha=90.00 beta=90.00 gamma=90.00
Closest atoms and distances in Å follow each position.
Fractional coordinates of all 8 atoms:
As  0.5000  0.0487  0.0741  3 Mo 2.48-2.57, 3 Mn 2.54-2.72
As  0.0000  0.9513  0.5741  3 Mo 2.48-2.57, 3 Mn 2.54-2.72
As  0.0000  0.4400  0.9274  3 Mn 2.49-2.54, 3 Mo 2.58-2.67
As  0.5000  0.5600  0.4274  3 Mn 2.49-2.54, 3 Mo 2.58-2.67
Mn  0.5000  0.2483  0.6905  6 As 2.49-2.72
Mn  0.0000  0.7517  0.1905  6 As 2.49-2.72
Mo  0.5000  0.7437  0.8080  6 As 2.48-2.67
Mo  0.0000  0.2563  0.3080  6 As 2.48-2.67

Results
DFT total energy	-7.58	eV/atom
space-group type	Pmn2_1
relative energy among the computed polymorphs	0.0	kJ/mol of atoms
DFT formation energy	-0.259	eV per atom
DOS(E_F)	3.179	states/eV/cell


[10]
Mn2MoAs after structural relaxation, computed with GGA-PBE.

Unit cell a=3.2843 b=3.2767 c=5.2496 alpha=90.00 beta=90.00 gamma=90.00
Closest atoms and distances in Å follow each position.
Fractional coordinates of all 4 atoms:
As  0.5000  0.5000  0.7500  2 Mo 2.62, 8 Mn 2.66
Mn  0.0000  0.0000  0.5003  2 Mn 2.62-2.63, 4 As 2.66, 4 Mo 2.67
Mn  0.0000  0.0000  0.9997  2 Mn 2.62-2.63, 4 As 2.66, 4 Mo 2.67
Mo  0.5000  0.5000  0.2500  2 As 2.62, 8 Mn 2.67

Results
DFT total energy	-8.44	eV/atom
space-group type	P4/mmm
DFT formation energy	0.013	eV per atom
DOS(E_F)	2.664	states/eV/cell


[11]
MnMoAs4 after structural relaxation, computed with GGA-PBE.

Unit cell a=5.3965 b=5.3965 c=5.3965 alpha=60.00 beta=60.00 gamma=60.00
Closest atoms and distances in Å follow each position.
Fractional coordinates of all 6 atoms:
Mo  0.0000  0.0000  0.0000  12 As 3.16, 4 Mn 3.30
As  0.3751  0.8746  0.3751  6 As 2.70
As  0.8746  0.3751  0.3751  6 As 2.70
As  0.3751  0.3751  0.3751  6 As 2.70
As  0.3751  0.3751  0.8746  6 As 2.70
Mn  0.7500  0.7500  0.7500  12 As 3.16, 4 Mo 3.30

Results
DFT total energy	-5.64	eV/atom
space-group type	F-43m
DFT formation energy	0.798	eV per atom
DOS(E_F)	4.532	states/eV/cell


[12]
MnMo2As after structural relaxation, computed with GGA-PBE.

Unit cell a=4.1827 b=2.9313 c=4.9266 alpha=73.53 beta=90.00 gamma=90.00
Closest atoms and distances in Å follow each position.
Fractional coordinates of all 4 atoms:
As  0.0000  0.6629  0.5019  2 Mn 2.46, 5 Mo 2.54-2.73
Mo  0.5000  0.2368  0.2633  2 Mn 2.38-2.63
Mo  0.0000  0.9742  0.9650  3 As 2.54-2.69, 4 Mn 2.63-2.81, 2 Mo 2.79
Mn  0.5000  0.6261  0.7697  4 Mo 2.38-2.63, 2 As 2.46

Results
DFT total energy	-8.78	eV/atom
space-group type	Pm
DFT formation energy	0.086	eV per atom
DOS(E_F)	3.417	states/eV/cell


[13]
Mn2MoAs after structural relaxation, computed with GGA-PBE.

Unit cell a=4.8027 b=4.8027 c=4.1074 alpha=64.74 beta=64.74 gamma=39.67
Closest atoms and distances in Å follow each position.
Fractional coordinates of all 4 atoms:
Mn  0.5060  0.5060  0.4938  2 As 2.55, 4 Mn 2.62, 4 Mo 2.63-2.84
Mn  0.9940  0.9940  0.0062  2 As 2.55, 4 Mn 2.62, 4 Mo 2.63-2.84
As  0.2500  0.2500  0.2500  4 Mn 2.55, 4 Mo 2.62
Mo  0.7500  0.7500  0.7500  4 As 2.62, 8 Mn 2.63-2.84

Results
DFT total energy	-8.41	eV/atom
space-group type	Immm
DFT formation energy	0.047	eV per atom
DOS(E_F)	3.295	states/eV/cell


[14]
MnMo2As after structural relaxation, computed with GGA-PBE.

Unit cell a=4.3158 b=4.3158 c=4.3158 alpha=60.00 beta=60.00 gamma=60.00
Closest atoms and distances in Å follow each position.
Fractional coordinates of all 4 atoms:
Mn  0.2500  0.2500  0.2500  4 As 2.64, 4 Mo 2.64
Mo  0.7500  0.7500  0.7500  4 As 2.64, 4 Mo 2.64
Mo  0.0000  0.0000  0.0000  4 Mn 2.64, 4 Mo 2.64
As  0.5000  0.5000  0.5000  4 Mn 2.64, 4 Mo 2.64

Results
DFT total energy	-8.64	eV/atom
space-group type	F-43m
DFT formation energy	0.228	eV per atom
DOS(E_F)	3.870	states/eV/cell


[15]
Mn2MoAs after structural relaxation, computed with GGA-PBE.

Unit cell a=4.6671 b=4.6671 c=4.6671 alpha=132.96 beta=132.96 gamma=68.72
Closest atoms and distances in Å follow each position.
Fractional coordinates of all 4 atoms:
Mn  0.0000  0.0000  0.0000  4 Mo 2.63, 4 As 2.68, 4 Mn 2.68
Mn  0.2500  0.7500  0.5000  4 As 2.63, 4 Mn 2.68, 4 Mo 2.68
Mo  0.5000  0.5000  0.0000  8 Mn 2.63-2.68, 4 As 2.68
As  0.7500  0.2500  0.5000  8 Mn 2.63-2.68, 4 Mo 2.68

Results
DFT total energy	-8.40	eV/atom
space-group type	I-4m2
DFT formation energy	0.055	eV per atom
DOS(E_F)	2.663	states/eV/cell


[16]
MnMoAs2 after structural relaxation, computed with GGA-PBE.

Unit cell a=4.4531 b=4.4531 c=4.4531 alpha=60.00 beta=60.00 gamma=60.00
Closest atoms and distances in Å follow each position.
Fractional coordinates of all 4 atoms:
As  0.2500  0.2500  0.2500  4 As 2.73, 4 Mn 2.73
As  0.0000  0.0000  0.0000  4 As 2.73, 4 Mo 2.73
Mn  0.5000  0.5000  0.5000  4 As 2.73, 4 Mo 2.73
Mo  0.7500  0.7500  0.7500  4 As 2.73, 4 Mn 2.73

Results
DFT total energy	-6.97	eV/atom
space-group type	F-43m
relative energy among the computed polymorphs	59.4	kJ/mol of atoms
DFT formation energy	0.357	eV per atom
DOS(E_F)	2.918	states/eV/cell


[17]
Mn2MoAs after structural relaxation, computed with GGA-PBE.

Unit cell a=3.9714 b=2.7026 c=5.3426 alpha=75.35 beta=90.00 gamma=90.00
Closest atoms and distances in Å follow each position.
Fractional coordinates of all 4 atoms:
As  0.5000  0.9356  0.7432  3 Mn 2.44-2.68, 4 Mo 2.68, 2 As 2.70
Mn  0.5000  0.2036  0.2252  6 Mn 2.63-2.70, 3 As 2.68-2.85, 4 Mo 2.82-2.84
Mn  0.0000  0.8107  0.0165  2 As 2.44, 1 Mo 2.58, 6 Mn 2.63-2.70
Mo  0.0000  0.5501  0.5151  5 Mn 2.58-2.84, 4 As 2.68, 2 Mo 2.70

Results
DFT total energy	-8.37	eV/atom
space-group type	Pm
DFT formation energy	0.080	eV per atom
DOS(E_F)	2.836	states/eV/cell


[18]
MnMo2As after structural relaxation, computed with GGA-PBE.

Unit cell a=5.2834 b=4.9119 c=2.8283 alpha=79.94 beta=77.84 gamma=118.50
Closest atoms and distances in Å follow each position.
Fractional coordinates of all 4 atoms:
Mo  0.5000  0.0000  0.5000  2 Mn 2.61, 2 As 2.61, 4 Mo 2.72-2.83
Mo  0.0000  0.0000  0.0000  2 As 2.61, 2 Mn 2.61, 4 Mo 2.72-2.83
Mn  0.5000  0.5000  0.0000  4 Mo 2.61, 2 As 2.72, 2 Mn 2.83
As  0.0000  0.5000  0.5000  4 Mo 2.61, 2 Mn 2.72, 2 As 2.83

Results
DFT total energy	-8.67	eV/atom
space-group type	C2/m
DFT formation energy	0.197	eV per atom
DOS(E_F)	3.396	states/eV/cell


[19]
Mn3MoAs after structural relaxation, computed with GGA-PBE.

Unit cell a=4.4902 b=4.4902 c=4.4902 alpha=90.00 beta=90.00 gamma=90.00
Closest atoms and distances in Å follow each position.
Fractional coordinates of all 5 atoms:
Mo  0.5000  0.5000  0.5000  12 Mn 3.18
Mn  0.0000  0.0000  0.5000  2 As 2.25
Mn  0.5000  0.0000  0.0000  2 As 2.25
Mn  0.0000  0.5000  0.0000  2 As 2.25
As  0.0000  0.0000  0.0000  6 Mn 2.25

Results
DFT total energy	-7.70	eV/atom
space-group type	Pm-3m
relative energy among the computed polymorphs	0.0	kJ/mol of atoms
DFT formation energy	0.896	eV per atom
DOS(E_F)	3.505	states/eV/cell


[20]
MnMo2As after structural relaxation, computed with GGA-PBE.

Unit cell a=3.6923 b=3.6923 c=9.5063 alpha=78.80 beta=78.80 gamma=90.00
Closest atoms and distances in Å follow each position.
Fractional coordinates of all 8 atoms:
As  0.7500  0.2500  0.5000  4 Mn 2.61, 4 Mo 2.63
As  0.0000  0.0000  0.0000  4 Mn 2.61, 4 Mo 2.63
Mo  0.3750  0.3713  0.7500  4 Mo 2.59-2.63, 2 As 2.63, 2 Mn 2.64
Mo  0.8750  0.8787  0.7500  4 Mo 2.59-2.63, 2 As 2.63, 2 Mn 2.64
Mo  0.1213  0.6250  0.2500  4 Mo 2.59-2.63, 2 As 2.63, 2 Mn 2.64
Mo  0.6287  0.1250  0.2500  4 Mo 2.59-2.63, 2 As 2.63, 2 Mn 2.64
Mn  0.5000  0.5000  0.0000  4 As 2.61, 4 Mo 2.64
Mn  0.2500  0.7500  0.5000  4 As 2.61, 4 Mo 2.64

Results
DFT total energy	-8.31	eV/atom
space-group type	I-42d
DFT formation energy	0.561	eV per atom
DOS(E_F)	8.482	states/eV/cell